{
  "formula": "Al2SiBr",
  "functional": "PBE",
  "state": "optimized geometry",
  "lattice": [[3.302, 0.000, 0.000], [0.000, 3.302, 0.000], [0.000, 0.000, 7.154]],
  "species": ["Al", "Al", "Si", "Br"],
  "fractional_positions": [[0.000, 0.000, 0.199], [0.000, 0.000, 0.801], [0.500, 0.500, 0.000], [0.500, 0.500, 0.500]],
  "polymorph_energy_ev_per_atom": 0.221
}